[1]
A relaxed structure of ScTeN2O, computed with PBE-GGA.

The space group is P4/mmm (No. 123) and the conventional cell measures 4.093, 4.093 and 4.089 Å, with angles of 90.00, 90.00 and 90.00 degrees. The distinct sites, in fractional coordinates, are Sc at (0.000, 0.000, 0.000), Te at (0.500, 0.500, 0.000), N at (0.000, 0.500, 0.500) and O at (0.500, 0.500, 0.500).

Its total moment is 0.000 μB per atom. The calculation puts the raw formation energy at 103.8 kJ per mole of atoms. As for the crystal system: tetragonal.

***

[2]
A relaxed structure of Ba2NaHgSe, computed with PBE-GGA.

The space group is P4/mmm (No. 123) and the conventional cell measures 6.417, 6.417 and 5.121 Å, with angles of 90.00, 90.00 and 90.00 degrees. The distinct sites, in fractional coordinates, are Ba at (0.000, 0.500, 0.000), Na at (0.000, 0.000, 0.000), Hg at (0.000, 0.000, 0.500) and Se at (0.500, 0.500, 0.500).

Its total moment is 0.000 μB per atom. The calculation puts the raw formation energy at -17.8 kJ per mole of atoms. As for the crystal system: tetragonal.

***

[3]
A relaxed structure of CuTc3B, computed with PBE-GGA.

The space group is Pm-3m (No. 221) and the conventional cell measures 4.074, 4.074 and 4.074 Å, with angles of 90.00, 90.00 and 90.00 degrees. The distinct sites, in fractional coordinates, are Cu at (0.000, 0.000, 0.000), Tc at (0.000, 0.500, 0.500) and B at (0.500, 0.500, 0.500).

Its total moment is 0.000 μB per atom. The formation enthalpy at 0 K is 0.373 eV/atom. For the polymorph energy (0 for the lowest one), the calculation gives 0.0 meV per atom. As for the crystal system: cubic.

***

[4]
A relaxed structure of RbBa2MgTl, computed with PBE-GGA.

The space group is P4/mmm (No. 123) and the conventional cell measures 6.957, 6.957 and 5.602 Å, with angles of 90.00, 90.00 and 90.00 degrees. The distinct sites, in fractional coordinates, are Rb at (0.000, 0.000, 0.000), Ba at (0.000, 0.500, 0.500), Mg at (0.500, 0.500, 0.000) and Tl at (0.500, 0.500, 0.500).

Its total moment is 0.000 μB per atom. The formation enthalpy at 0 K is 0.026 eV/atom. As for the crystal system: tetragonal.

***

[5]
A relaxed structure of TbPm3Tl3, computed with PBE-GGA.

The space group is P6_3/m (No. 176) and the conventional cell measures 9.6135, 9.6135 and 5.3083 Å, with angles of 90.00, 90.00 and 120.00 degrees. The distinct sites, in fractional coordinates, are Tb at (0.3333, 0.6667, 0.2500), Pm at (0.0009, 0.7617, 0.2500) and Tl at (0.0710, 0.6190, 0.7500).

Its total moment is 0.000 μB per atom. The formation enthalpy at 0 K is -0.219 eV/atom. For the polymorph energy (0 for the lowest one), the calculation gives 57.6 meV per atom. As for the crystal system: hexagonal.

***

[6]
A relaxed structure of K2AlRe, computed with PBE-GGA.

The space group is P4/mmm (No. 123) and the conventional cell measures 2.793, 2.793 and 11.859 Å, with angles of 90.00, 90.00 and 90.00 degrees. The distinct sites, in fractional coordinates, are K at (0.000, 0.000, 0.240), Al at (0.500, 0.500, 0.500) and Re at (0.500, 0.500, 0.000).

Its total moment is 0.000 μB per atom. The formation enthalpy at 0 K is 1.093 eV/atom. As for the crystal system: tetragonal.

***

[7]
A relaxed structure of LaIrBr, computed with PBE-GGA.

The space group is C2/m (No. 12) and the conventional cell measures 7.583, 4.381 and 11.116 Å, with angles of 90.00, 91.77 and 90.00 degrees. The distinct sites, in fractional coordinates, are La at (0.008, 0.000, 0.173), Ir at (0.167, 0.500, 0.996) and Br at (0.182, 0.500, 0.343).

Its total moment is 0.000 μB per atom. The calculation puts the raw formation energy at -129.0 kJ per mole of atoms. For the polymorph energy (0 for the lowest one), the calculation gives 0.0 meV per atom. As for the crystal system: monoclinic.

***

[8]
A relaxed structure of BaSi2Te, computed with PBE-GGA.

The space group is Pm (No. 6) and the conventional cell measures 5.236, 4.057 and 6.591 Å, with angles of 90.00, 113.33 and 90.00 degrees. The distinct sites, in fractional coordinates, are Ba at (0.000, 0.000, 0.000), Si at (0.277, 0.000, 0.554), Si at (0.380, 0.500, 0.759) and Te at (0.592, 0.500, 0.185).

Its total moment is 0.000 μB per atom. The calculation puts the raw formation energy at -28.7 kJ per mole of atoms. As for the crystal system: monoclinic.

***

[9]
A relaxed structure of LaCr2As2, computed with PBE-GGA.

The space group is P4/mbm (No. 127) and the conventional cell measures 7.875, 7.875 and 3.117 Å, with angles of 90.00, 90.00 and 90.00 degrees. The distinct sites, in fractional coordinates, are La at (0.000, 0.000, 0.000), Cr at (0.091, 0.409, 0.500) and As at (0.155, 0.655, 0.000).

Its total moment is 0.000 μB per atom. The formation enthalpy at 0 K is -0.067 eV/atom. For the polymorph energy (0 for the lowest one), the calculation gives 382.7 meV per atom. As for the crystal system: tetragonal.

***

[10]
A relaxed structure of SrFeTc, computed with PBE-GGA.

The space group is F-43m (No. 216) and the conventional cell measures 6.710, 6.710 and 6.710 Å, with angles of 90.00, 90.00 and 90.00 degrees. The distinct sites, in fractional coordinates, are Sr at (0.000, 0.000, 0.000), Fe at (0.250, 0.250, 0.250) and Tc at (0.250, 0.250, 0.750).

Its total moment is 1.766 μB per atom. The formation enthalpy at 0 K is 2.074 eV/atom. For the polymorph energy (0 for the lowest one), the calculation gives 1575.2 meV per atom. As for the crystal system: cubic.

***

[11]
A relaxed structure of ZnGa12Ag6, computed with PBE-GGA.

The space group is R-3 (No. 148, hexagonal axes) and the conventional cell measures 9.1765, 9.1765 and 15.0060 Å, with angles of 90.00, 90.00 and 120.00 degrees. The distinct sites, in fractional coordinates, are Zn at (0.0000, 0.0000, 0.0000), Ga at (0.0079, 0.8265, 0.8454), Ga at (0.0716, 0.8643, 0.4209) and Ag at (0.0148, 0.5599, 0.3461).

Its total moment is 0.000 μB per atom. The formation enthalpy at 0 K is 0.052 eV/atom. For the polymorph energy (0 for the lowest one), the calculation gives 0.0 meV per atom. As for the crystal system: trigonal.

***

[12]
A relaxed structure of CeDy3Ho12, computed with PBE-GGA.

The space group is P4/mmm (No. 123) and the conventional cell measures 4.989, 4.989 and 19.943 Å, with angles of 90.00, 90.00 and 90.00 degrees. The distinct sites, in fractional coordinates, are Ce at (0.000, 0.000, 0.000), Dy at (0.000, 0.000, 0.249), Dy at (0.000, 0.000, 0.500), Ho at (0.000, 0.500, 0.124), Ho at (0.000, 0.500, 0.375), Ho at (0.500, 0.500, 0.000), Ho at (0.500, 0.500, 0.251) and Ho at (0.500, 0.500, 0.500).

Its total moment is 0.056 μB per atom. The formation enthalpy at 0 K is 0.031 eV/atom. As for the crystal system: tetragonal.